InNi3O after structural relaxation, computed with PBE with a Hubbard U.

Unit cell a=4.8281 b=4.8281 c=4.8281 alpha=90.00 beta=90.00 gamma=90.00
Element x y z (fractional)
1 In 0.0000 0.0000 0.0000
2 Ni 0.0000 0.0000 0.5000
3 Ni 0.0000 0.5000 0.0000
4 Ni 0.5000 0.0000 0.0000
5 O 0.5000 0.5000 0.5000

Energy: -1.540 eV/atom
Excess energy over the best structure of this formula in the dataset: 1494 meV/atom
Space-group type: Pm-3m, No. 221